This record from the Alexandria database describes a crystal of Na3VS4 relaxed with PBEsol. The functional is SCAN.

Lattice parameters (Å, degrees): 13.3524 13.3524 7.8651 90.00 90.00 90.00
Last column: nearest neighbours and their distance in Å.
Space group P-42_1c (No. 114)
Asymmetric unit:
Na 0.0000 0.0000 0.2138 [4 per cell]  6 S 2.82-3.04
Na 0.0000 0.5000 0.0742 [4 per cell]  6 S 2.85-3.16
Na 0.0451 0.2554 0.3505 [8 per cell]  6 S 2.79-2.87
Na 0.1990 0.7548 0.0657 [8 per cell]  7 S 2.95-3.19
V 0.0110 0.7385 0.7764 [8 per cell]  4 S 2.13-2.15
S 0.0108 0.1846 0.0106 [8 per cell]  1 V 2.13
S 0.0803 0.8386 0.5991 [8 per cell]  1 V 2.14
S 0.1089 0.6130 0.8192 [8 per cell]  1 V 2.15
S 0.1299 0.3107 0.6729 [8 per cell]  1 V 2.15

Values from the calculation:
DOS at the Fermi energy: 0.00 states/eV/atom
M_tot: 0.000 μB per formula unit
ΔE_f (raw): -1.2345 eV/atom